## LaMg4Cu (GGA-PBEsol)

Data for an optimized crystal structure of LaMg4Cu.

The structure in POSCAR format:
```
LaMg4Cu
1.0
10.263 0.000 0.000
-5.132 8.888 0.000
0.000 0.000 4.451
La Mg Cu
3 12 3
Cartesian
-3.042 5.268 0.000
2.090 3.620 0.000
6.083 0.000 0.000
-1.301 2.254 0.000
-4.279 7.412 2.226
0.853 1.477 2.226
-0.572 4.274 2.226
2.603 0.000 0.000
-1.144 7.247 2.226
3.987 1.641 2.226
1.717 6.256 2.226
4.559 4.615 2.226
3.830 6.634 0.000
6.848 2.633 2.226
8.558 0.000 2.226
0.000 0.000 0.000
0.000 5.926 0.000
5.132 2.963 0.000
```

## Properties
For the theoretical density, the calculation gives 3.68 Mg/m³. For the total DFT energy (no corrections), the calculation gives -2.871 eV per atom. Its density of states at the Fermi level is 0.82 states/eV/atom. As for the magnetic moment: 0.0 μB/f.u.